[1]
DFT (PBE) results for a relaxed structure of La2SnBi.

Offset from the most stable computed form in meV per atom: 84
DOS(E_F) in states/eV/atom: 0.53
ΔH_f (0 K) in meV/atom: -828
Energy in eV per atom: -5.2623

Cell lengths 4.7356, 4.6089, 12.2578 Å; angles 90.00, 90.00, 90.00 degrees
Last column: nearest neighbours and their distance in Å.
Sites, in units of the cell vectors:
La 0.0000 0.0000 0.0000  4 Sn 3.32, 3 Bi 3.34-3.62
La 0.0000 0.5000 0.5000  4 Sn 3.32, 3 Bi 3.34-3.62
La 0.5000 0.0000 0.2597  1 Sn 3.24, 4 Bi 3.33
La 0.5000 0.5000 0.7597  1 Sn 3.24, 4 Bi 3.33
Sn 0.5000 0.0000 0.5244  5 La 3.24-3.32, 2 Bi 3.44
Sn 0.5000 0.5000 0.0244  5 La 3.24-3.32, 2 Bi 3.44
Bi 0.0000 0.0000 0.7277  7 La 3.33-3.62, 2 Sn 3.44
Bi 0.0000 0.5000 0.2277  7 La 3.33-3.62, 2 Sn 3.44

***

[2]
DFT (PBE) results for a relaxed structure of La2SnBi5.

DOS(E_F) in states/eV/atom: 0.41
ΔH_f (0 K) in meV/atom: -552
Energy in eV per atom: -4.7101

Cell lengths 9.5577, 10.2512, 5.0798 Å; angles 90.00, 90.00, 90.00 degrees
Last column: nearest neighbours and their distance in Å.
Sites, in units of the cell vectors:
La 0.0000 0.2489 0.0000  10 Bi 3.49-3.60, 2 Sn 3.62
La 0.0000 0.7511 0.0000  10 Bi 3.49-3.60, 2 Sn 3.62
La 0.5000 0.2511 0.0000  10 Bi 3.49-3.60, 2 Sn 3.62
La 0.5000 0.7489 0.0000  10 Bi 3.49-3.60, 2 Sn 3.62
Sn 0.0000 0.5000 0.5000  8 Bi 3.46-3.50, 4 La 3.62
Sn 0.5000 0.0000 0.5000  8 Bi 3.46-3.50, 4 La 3.62
Bi 0.0000 0.0000 0.5000  8 Bi 3.50-3.51, 4 La 3.60
Bi 0.2460 0.5000 0.0000  2 Sn 3.46, 4 La 3.49-3.52, 6 Bi 3.51-3.61
Bi 0.2500 0.2500 0.5000  4 La 3.49, 2 Sn 3.50, 6 Bi 3.50-3.61
Bi 0.2500 0.7500 0.5000  4 La 3.49, 2 Sn 3.50, 6 Bi 3.50-3.61
Bi 0.2540 0.0000 0.0000  2 Sn 3.46, 4 La 3.49-3.52, 6 Bi 3.51-3.61
Bi 0.5000 0.5000 0.5000  8 Bi 3.50-3.51, 4 La 3.60
Bi 0.7460 0.0000 0.0000  2 Sn 3.46, 4 La 3.49-3.52, 6 Bi 3.51-3.61
Bi 0.7500 0.2500 0.5000  4 La 3.49, 2 Sn 3.50, 6 Bi 3.50-3.61
Bi 0.7500 0.7500 0.5000  4 La 3.49, 6 Bi 3.50-3.61, 2 Sn 3.50
Bi 0.7540 0.5000 0.0000  2 Sn 3.46, 4 La 3.49-3.52, 6 Bi 3.51-3.61

***

[3]
DFT (PBE) results for a relaxed structure of La8Sn3Bi2.

DOS(E_F) in states/eV/atom: 1.08
ΔH_f (0 K) in meV/atom: -456
Energy in eV per atom: -5.0090

Cell lengths 9.4276, 9.4276, 7.8547 Å; angles 105.28, 105.28, 55.68 degrees
Last column: nearest neighbours and their distance in Å.
Sites, in units of the cell vectors:
La 0.0962 0.0962 0.3412  2 Sn 3.16, 1 Bi 3.31
La 0.1322 0.6434 0.0978  2 Sn 3.16, 2 Bi 3.33-3.39
La 0.3566 0.8678 0.9022  2 Sn 3.16, 2 Bi 3.33-3.39
La 0.3842 0.3842 0.5894  3 Sn 3.17-3.23, 1 Bi 3.40
La 0.6158 0.6158 0.4106  3 Sn 3.17-3.23, 1 Bi 3.40
La 0.6434 0.1322 0.0978  2 Sn 3.16, 2 Bi 3.33-3.39
La 0.8678 0.3566 0.9022  2 Sn 3.16, 2 Bi 3.33-3.39
La 0.9038 0.9038 0.6588  2 Sn 3.16, 1 Bi 3.31
Sn 0.2453 0.7547 0.5000  6 La 3.16-3.17
Sn 0.5000 0.5000 0.0000  6 La 3.16-3.23
Sn 0.7547 0.2453 0.5000  6 La 3.16-3.17
Bi 0.2530 0.2530 0.1641  6 La 3.31-3.40
Bi 0.7470 0.7470 0.8359  6 La 3.31-3.40

***

[4]
DFT (PBE) results for a relaxed structure of LaSn3Bi.

Offset from the most stable computed form in meV per atom: 0
DOS(E_F) in states/eV/atom: 1.24
ΔH_f (0 K) in meV/atom: 430
Energy in eV per atom: -3.7332

Cell lengths 5.7848, 5.7848, 5.7848 Å; angles 90.00, 90.00, 90.00 degrees
Last column: nearest neighbours and their distance in Å.
Sites, in units of the cell vectors:
La 0.0000 0.0000 0.0000  12 Sn 4.09
Sn 0.0000 0.5000 0.5000  2 Bi 2.89
Sn 0.5000 0.0000 0.5000  2 Bi 2.89
Sn 0.5000 0.5000 0.0000  2 Bi 2.89
Bi 0.5000 0.5000 0.5000  6 Sn 2.89

***

[5]
DFT (PBE) results for a relaxed structure of La2SnBi2.

Offset from the most stable computed form in meV per atom: 76
DOS(E_F) in states/eV/atom: 0.81
ΔH_f (0 K) in meV/atom: -633
Energy in eV per atom: -4.9565

Cell lengths 8.7160, 8.7160, 4.4468 Å; angles 90.00, 90.00, 90.00 degrees
Last column: nearest neighbours and their distance in Å.
Sites, in units of the cell vectors:
La 0.1497 0.3503 0.0000  6 Bi 3.22-3.51, 2 Sn 3.32
La 0.3503 0.8503 0.0000  6 Bi 3.22-3.51, 2 Sn 3.32
La 0.6497 0.1497 0.0000  6 Bi 3.22-3.51, 2 Sn 3.32
La 0.8503 0.6497 0.0000  6 Bi 3.22-3.51, 2 Sn 3.32
Sn 0.0000 0.0000 0.0000  4 La 3.32
Sn 0.5000 0.5000 0.0000  4 La 3.32
Bi 0.1617 0.6617 0.5000  6 La 3.22-3.51
Bi 0.3383 0.1617 0.5000  6 La 3.22-3.51
Bi 0.6617 0.8383 0.5000  6 La 3.22-3.51
Bi 0.8383 0.3383 0.5000  6 La 3.22-3.51

***

[6]
DFT (PBE) results for a relaxed structure of La2SnBi.

Offset from the most stable computed form in meV per atom: 207
DOS(E_F) in states/eV/atom: 0.70
ΔH_f (0 K) in meV/atom: -705
Energy in eV per atom: -5.1395

Cell lengths 4.4684, 4.4684, 25.3827 Å; angles 90.00, 90.00, 120.00 degrees
Last column: nearest neighbours and their distance in Å.
Sites, in units of the cell vectors:
La 0.0000 0.0000 0.0000  3 Bi 3.27, 3 Sn 3.37
La 0.0000 0.0000 0.1729  3 Bi 3.31, 3 Sn 3.40
La 0.3333 0.6667 0.6667  3 Bi 3.27, 3 Sn 3.37
La 0.3333 0.6667 0.8395  3 Bi 3.31, 3 Sn 3.40
La 0.6667 0.3333 0.3333  3 Bi 3.27, 3 Sn 3.37
La 0.6667 0.3333 0.5062  3 Bi 3.31, 3 Sn 3.40
Sn 0.0000 0.0000 0.4187  6 La 3.37-3.40
Sn 0.3333 0.6667 0.0854  6 La 3.37-3.40
Sn 0.6667 0.3333 0.7521  6 La 3.37-3.40
Bi 0.0000 0.0000 0.5877  6 La 3.27-3.31
Bi 0.3333 0.6667 0.2543  6 La 3.27-3.31
Bi 0.6667 0.3333 0.9210  6 La 3.27-3.31

***

[7]
DFT (PBE) results for a relaxed structure of LaSn2Bi2.

Offset from the most stable computed form in meV per atom: 190
DOS(E_F) in states/eV/atom: 0.97
ΔH_f (0 K) in meV/atom: -226
Energy in eV per atom: -4.3648

Cell lengths 8.5014, 8.5014, 4.4185 Å; angles 90.00, 90.00, 90.00 degrees
Last column: nearest neighbours and their distance in Å.
Sites, in units of the cell vectors:
La 0.0000 0.0000 0.0000  4 Bi 3.31
La 0.5000 0.5000 0.0000  4 Bi 3.31
Sn 0.1746 0.3254 0.5000  6 Bi 3.18-3.46
Sn 0.3254 0.8254 0.5000  6 Bi 3.18-3.46
Sn 0.6746 0.1746 0.5000  6 Bi 3.18-3.46
Sn 0.8254 0.6746 0.5000  6 Bi 3.18-3.46
Bi 0.1357 0.6357 0.0000  6 Sn 3.18-3.46, 1 Bi 3.26, 2 La 3.31
Bi 0.3643 0.1357 0.0000  6 Sn 3.18-3.46, 1 Bi 3.26, 2 La 3.31
Bi 0.6357 0.8643 0.0000  6 Sn 3.18-3.46, 1 Bi 3.26, 2 La 3.31
Bi 0.8643 0.3643 0.0000  6 Sn 3.18-3.46, 1 Bi 3.26, 2 La 3.31

***

[8]
DFT (PBE) results for a relaxed structure of La2Sn4Bi.

Offset from the most stable computed form in meV per atom: 47
DOS(E_F) in states/eV/atom: 0.80
ΔH_f (0 K) in meV/atom: -403
Energy in eV per atom: -4.6528

Cell lengths 6.3397, 6.3390, 11.4523 Å; angles 90.00, 105.99, 90.00 degrees
Last column: nearest neighbours and their distance in Å.
Sites, in units of the cell vectors:
La 0.0967 0.0000 0.1931  4 Sn 3.30
La 0.4033 0.5000 0.8069  4 Sn 3.30
La 0.5967 0.5000 0.1931  4 Sn 3.30
La 0.9033 0.0000 0.8069  4 Sn 3.30
Sn 0.0000 0.2499 0.5000  8 Sn 3.17-3.33
Sn 0.0000 0.7501 0.5000  8 Sn 3.17-3.33
Sn 0.1385 0.5000 0.2769  1 Bi 3.05, 4 La 3.30, 4 Sn 3.32-3.33
Sn 0.3615 0.0000 0.7231  1 Bi 3.05, 4 La 3.30, 4 Sn 3.32-3.33
Sn 0.5000 0.2501 0.5000  8 Sn 3.17-3.33
Sn 0.5000 0.7499 0.5000  8 Sn 3.17-3.33
Sn 0.6385 0.0000 0.2769  1 Bi 3.05, 4 La 3.30, 4 Sn 3.32-3.33
Sn 0.8615 0.5000 0.7231  1 Bi 3.05, 4 La 3.30, 4 Sn 3.32-3.33
Bi 0.0000 0.5000 0.0000  2 Sn 3.05
Bi 0.5000 0.0000 0.0000  2 Sn 3.05

***

[9]
DFT (PBE) results for a relaxed structure of La2SnBi.

Offset from the most stable computed form in meV per atom: 727
DOS(E_F) in states/eV/atom: 1.44
ΔH_f (0 K) in meV/atom: -185
Energy in eV per atom: -4.6201

Cell lengths 7.3805, 7.3805, 14.4867 Å; angles 90.00, 90.00, 90.00 degrees
Last column: nearest neighbours and their distance in Å.
Sites, in units of the cell vectors:
La 0.2440 0.2500 0.1250  2 Sn 3.15, 2 Bi 3.20
La 0.2500 0.7440 0.3750  2 Sn 3.15, 2 Bi 3.20
La 0.2500 0.7560 0.8750  2 Sn 3.15, 2 Bi 3.20
La 0.2560 0.2500 0.6250  2 Sn 3.15, 2 Bi 3.20
La 0.7440 0.7500 0.6250  2 Sn 3.15, 2 Bi 3.20
La 0.7500 0.2440 0.8750  2 Sn 3.15, 2 Bi 3.20
La 0.7500 0.2560 0.3750  2 Sn 3.15, 2 Bi 3.20
La 0.7560 0.7500 0.1250  2 Sn 3.15, 2 Bi 3.20
Sn 0.0000 0.0000 0.0000  4 La 3.15
Sn 0.0000 0.5000 0.2500  4 La 3.15
Sn 0.5000 0.0000 0.7500  4 La 3.15
Sn 0.5000 0.5000 0.5000  4 La 3.15
Bi 0.0000 0.0000 0.5000  4 La 3.20
Bi 0.0000 0.5000 0.7500  4 La 3.20
Bi 0.5000 0.0000 0.2500  4 La 3.20
Bi 0.5000 0.5000 0.0000  4 La 3.20

***

[10]
DFT (PBE) results for a relaxed structure of La2Sn4Bi.

Offset from the most stable computed form in meV per atom: 0
DOS(E_F) in states/eV/atom: 0.88
ΔH_f (0 K) in meV/atom: -450
Energy in eV per atom: -4.6996

Cell lengths 4.6400, 4.6400, 10.2082 Å; angles 90.00, 90.00, 90.00 degrees
Last column: nearest neighbours and their distance in Å.
Sites, in units of the cell vectors:
La 0.0000 0.5000 0.2480  8 Sn 3.29-3.46, 2 Bi 3.43
La 0.5000 0.0000 0.7520  8 Sn 3.29-3.46, 2 Bi 3.43
Sn 0.0000 0.0000 0.5000  8 Sn 3.28-3.66, 4 La 3.46
Sn 0.0000 0.5000 0.7770  2 Bi 3.25, 4 La 3.29
Sn 0.5000 0.0000 0.2230  2 Bi 3.25, 4 La 3.29
Sn 0.5000 0.5000 0.5000  8 Sn 3.28-3.66, 4 La 3.46
Bi 0.5000 0.5000 0.0000  4 Sn 3.25, 4 La 3.43

***

[11]
DFT (PBE) results for a relaxed structure of La4SnBi2.

Offset from the most stable computed form in meV per atom: 0
DOS(E_F) in states/eV/atom: 1.26
ΔH_f (0 K) in meV/atom: -883
Energy in eV per atom: -5.3790

Cell lengths 8.5387, 8.5387, 8.5387 Å; angles 109.58, 109.58, 109.25 degrees
Last column: nearest neighbours and their distance in Å.
Sites, in units of the cell vectors:
La 0.1193 0.2307 0.7492  2 Sn 3.25-3.53, 4 Bi 3.28-3.56
La 0.1201 0.7315 0.7508  2 Sn 3.25-3.53, 4 Bi 3.28-3.56
La 0.2685 0.0193 0.3886  2 Sn 3.25-3.53, 4 Bi 3.28-3.56
La 0.4815 0.3701 0.2508  2 Sn 3.25-3.53, 4 Bi 3.28-3.56
La 0.6299 0.8807 0.1114  2 Sn 3.25-3.53, 4 Bi 3.28-3.56
La 0.6307 0.8799 0.6114  2 Sn 3.25-3.53, 4 Bi 3.28-3.56
La 0.7693 0.5185 0.8886  2 Sn 3.25-3.53, 4 Bi 3.28-3.56
La 0.9807 0.3693 0.2492  2 Sn 3.25-3.53, 4 Bi 3.28-3.56
Sn 0.0000 0.0000 0.0000  8 La 3.25-3.53
Sn 0.7500 0.2500 0.5000  8 La 3.25-3.53
Bi 0.2526 0.6250 0.1276  8 La 3.28-3.56
Bi 0.3750 0.5026 0.6276  8 La 3.28-3.56
Bi 0.4974 0.1250 0.8724  8 La 3.28-3.56
Bi 0.8750 0.7474 0.3724  8 La 3.28-3.56

***

[12]
DFT (PBE) results for a relaxed structure of LaSn2Bi2.

Offset from the most stable computed form in meV per atom: 0
DOS(E_F) in states/eV/atom: 0.44
ΔH_f (0 K) in meV/atom: -416
Energy in eV per atom: -4.5549

Cell lengths 13.7773, 13.7773, 4.8190 Å; angles 90.00, 90.00, 160.69 degrees
Last column: nearest neighbours and their distance in Å.
Sites, in units of the cell vectors:
La 0.1505 0.8495 0.7500  8 Bi 3.35-3.60, 4 Sn 3.66-3.70
La 0.8495 0.1505 0.2500  8 Bi 3.35-3.60, 4 Sn 3.66-3.70
Sn 0.0493 0.9507 0.2500  8 Sn 3.34-3.60, 2 Bi 3.38, 2 La 3.66
Sn 0.4560 0.5440 0.2500  8 Sn 3.34-3.43, 2 Bi 3.55, 2 La 3.70
Sn 0.5440 0.4560 0.7500  8 Sn 3.34-3.43, 2 Bi 3.55, 2 La 3.70
Sn 0.9507 0.0493 0.7500  8 Sn 3.34-3.60, 2 Bi 3.38, 2 La 3.66
Bi 0.2490 0.7510 0.2500  4 Bi 3.34, 4 La 3.58-3.60
Bi 0.3599 0.6401 0.7500  4 La 3.35, 4 Sn 3.38-3.55
Bi 0.6401 0.3599 0.2500  4 La 3.35, 4 Sn 3.38-3.55
Bi 0.7510 0.2490 0.7500  4 Bi 3.34, 4 La 3.58-3.60